1.
DFT (PBE) results for a relaxed structure of NpGaAg2O6.

a b c (Å): 5.6048 5.6048 5.5608
angles (deg): 119.65 119.65 61.28
Fractional coordinates of all 10 atoms:
Np: 0.0000 0.0000 0.0000
Ga: 0.5000 0.5000 0.5000
Ag: 0.2514 0.2514 0.7403
Ag: 0.7486 0.7486 0.2597
O: 0.2061 0.6989 0.6993
O: 0.2508 0.2508 0.1589
O: 0.3011 0.7939 0.3007
O: 0.6989 0.2061 0.6993
O: 0.7492 0.7492 0.8411
O: 0.7939 0.3011 0.3007

Summary:
total energy = -6.683 eV/atom
mass density = 8.19 g/cm3
V = 12.53 Å³/atom
space group = C2/m (12)

---

2.
DFT (PBE) results for a relaxed structure of SrRuOF2.

a b c (Å): 4.5200 4.5200 4.8546
angles (deg): 90.00 90.00 90.00
Fractional coordinates of all 5 atoms:
Sr: 0.0000 0.0000 0.0000
Ru: 0.5000 0.5000 0.5000
O: 0.0000 0.0000 0.5000
F: 0.0000 0.5000 0.0000
F: 0.5000 0.0000 0.0000

Summary:
total energy = -4.904 eV/atom
mass density = 4.06 g/cm3
E above lowest polymorph = 815 meV per atom
V = 19.84 Å³/atom
space group = P4/mmm (123)

---

3.
DFT (PBE) results for a relaxed structure of Pm6Si2Ni.

a b c (Å): 6.2305 8.1323 11.6314
angles (deg): 90.00 122.34 90.00
Fractional coordinates of all 18 atoms:
Pm: 0.0858 0.1748 0.4443
Pm: 0.0858 0.3252 0.9443
Pm: 0.3097 0.6738 0.4406
Pm: 0.3097 0.8262 0.9406
Pm: 0.3802 0.0331 0.2576
Pm: 0.3802 0.4669 0.7576
Pm: 0.6198 0.5331 0.2424
Pm: 0.6198 0.9669 0.7424
Pm: 0.6903 0.1738 0.0594
Pm: 0.6903 0.3262 0.5594
Pm: 0.9142 0.6748 0.0557
Pm: 0.9142 0.8252 0.5557
Si: 0.1691 0.1198 0.7473
Si: 0.1691 0.3802 0.2473
Si: 0.8309 0.6198 0.7527
Si: 0.8309 0.8802 0.2527
Ni: 0.0000 0.0000 0.0000
Ni: 0.0000 0.5000 0.5000

Summary:
total energy = -5.361 eV/atom
mass density = 6.57 g/cm3
V = 27.66 Å³/atom
space group = P2_1/c (14)

---

4.
DFT (PBE) results for a relaxed structure of LaTbHo2Sb4.

a b c (Å): 6.2888 6.2888 12.5665
angles (deg): 90.00 90.00 90.00
Fractional coordinates of all 16 atoms:
La: 0.0000 0.0000 0.0000
La: 0.5000 0.5000 0.5000
Tb: 0.0000 0.0000 0.5000
Tb: 0.5000 0.5000 0.0000
Ho: 0.0000 0.5000 0.2500
Ho: 0.0000 0.5000 0.7500
Ho: 0.5000 0.0000 0.2500
Ho: 0.5000 0.0000 0.7500
Sb: 0.0000 0.0000 0.2543
Sb: 0.0000 0.0000 0.7457
Sb: 0.0000 0.5000 0.0000
Sb: 0.0000 0.5000 0.5000
Sb: 0.5000 0.0000 0.0000
Sb: 0.5000 0.0000 0.5000
Sb: 0.5000 0.5000 0.2457
Sb: 0.5000 0.5000 0.7543

Summary:
total energy = -5.544 eV/atom
mass density = 7.45 g/cm3
V = 31.06 Å³/atom
space group = I4/mmm (139)